# 1
Entry from the Alexandria database: a geometry-optimized Mg6RhAu3 structure (PBE-GGA).

* E: -63.6 eV for the cell shown
* V: 360 Å³ per cell
* total magnetic moment: 0.0 μB per formula unit
* space-group type: P2_1/m, No. 11

Unit cell a=4.680 b=7.974 c=10.144 alpha=108.24 beta=90.00 gamma=90.00
Fractional coordinates of all 20 atoms:
Mg  0.250  0.469  0.090
Mg  0.750  0.531  0.910
Mg  0.250  0.146  0.194
Mg  0.750  0.854  0.806
Mg  0.250  0.650  0.674
Mg  0.750  0.350  0.326
Mg  0.250  0.233  0.500
Mg  0.750  0.767  0.500
Mg  0.250  0.854  0.321
Mg  0.750  0.146  0.679
Mg  0.250  0.080  0.885
Mg  0.750  0.920  0.115
Rh  0.250  0.952  0.608
Rh  0.750  0.048  0.392
Au  0.250  0.539  0.386
Au  0.750  0.461  0.614
Au  0.250  0.360  0.787
Au  0.750  0.640  0.213
Au  0.250  0.768  0.971
Au  0.750  0.232  0.029

***

# 2
Entry from the Alexandria database: a geometry-optimized MgRh2Au structure (PBE-GGA).

* E: -20.3 eV for the cell shown
* V: 63 Å³ per cell
* total magnetic moment: 0.0 μB per formula unit
* space-group type: Cmmm, No. 65

Unit cell a=4.652 b=4.652 c=2.981 alpha=90.00 beta=90.00 gamma=104.16
Fractional coordinates of all 4 atoms:
Au  0.500  0.000  0.500
Mg  0.000  0.500  0.500
Rh  0.000  0.000  0.000
Rh  0.500  0.500  0.000

***

# 3
Entry from the Alexandria database: a geometry-optimized Mg2RhAu6 structure (PBE-GGA).

* E: -33.1 eV for the cell shown
* V: 157 Å³ per cell
* total magnetic moment: 0.0 μB per formula unit
* space-group type: C2/m, No. 12

Unit cell a=4.004 b=6.584 c=6.579 alpha=107.73 beta=107.71 gamma=90.00
Fractional coordinates of all 9 atoms:
Mg  0.945  0.191  0.889
Mg  0.055  0.809  0.111
Rh  0.500  0.500  0.000
Au  0.396  0.834  0.792
Au  0.604  0.166  0.208
Au  0.717  0.835  0.434
Au  0.165  0.500  0.330
Au  0.283  0.165  0.566
Au  0.835  0.500  0.670

***

# 4
Entry from the Alexandria database: a geometry-optimized MgRh2Au structure (PBE-GGA).

* E: -19.9 eV for the cell shown
* V: 63 Å³ per cell
* total magnetic moment: 0.6 μB per formula unit
* space-group type: P4/mmm, No. 123

Unit cell a=3.243 b=3.243 c=5.997 alpha=90.00 beta=90.00 gamma=90.00
Fractional coordinates of all 4 atoms:
Au  0.500  0.500  0.250
Mg  0.500  0.500  0.750
Rh  0.000  0.000  0.988
Rh  0.000  0.000  0.512

***

# 5
Entry from the Alexandria database: a geometry-optimized MgRh2Au2 structure (PBE-GGA).

* E above lowest polymorph: 0.0 meV/atom
* V: 174 Å³ per cell
* total magnetic moment: 0.0 μB per formula unit
* space-group type: P4/mbm, No. 127

Unit cell a=6.924 b=6.924 c=3.639 alpha=90.00 beta=90.00 gamma=90.00
Fractional coordinates of all 10 atoms:
Rh  0.366  0.866  0.000
Rh  0.866  0.634  0.000
Rh  0.634  0.134  0.000
Rh  0.134  0.366  0.000
Mg  0.000  0.000  0.000
Mg  0.500  0.500  0.000
Au  0.165  0.665  0.500
Au  0.665  0.835  0.500
Au  0.835  0.335  0.500
Au  0.335  0.165  0.500

***

# 6
Entry from the Alexandria database: a geometry-optimized MgRh2Au structure (PBE-GGA).

* E: -20.4 eV for the cell shown
* V: 62 Å³ per cell
* total magnetic moment: 0.0 μB per formula unit
* space-group type: C2/m, No. 12

Unit cell a=4.858 b=4.858 c=4.792 alpha=79.44 beta=79.44 gamma=34.21
Fractional coordinates of all 4 atoms:
Au  0.750  0.750  0.750
Mg  0.250  0.250  0.250
Rh  0.996  0.996  0.007
Rh  0.504  0.504  0.493

***

| no. | Fermi-level density of states (states/eV per cell) |
| --- | --- |
| 1 | 6.582 |
| 2 | 4.098 |
| 3 | 3.402 |
| 4 | 6.261 |
| 5 | 13.372 |
| 6 | 3.992 |